# 1
This record from Alexandria describes a relaxed Sr7Sb3N2 crystal. The functional is GGA-PBE.

Calculated values
DOS(E_F)	9.50	states/eV/cell
energy above the most stable polymorph in this dataset	0	meV per atom
raw total energy	-4.32	eV/atom
raw formation energy	-0.921	eV per atom

Lattice parameters (Å, degrees): 5.152 5.152 27.491 90.00 90.00 90.00
Space group I4/mmm (No. 139)
Asymmetric unit:
Sr 0.000 0.000 0.000 [2 per cell]
Sr 0.000 0.000 0.197 [4 per cell]
Sr 0.000 0.500 0.097 [8 per cell]
Sb 0.000 0.000 0.320 [4 per cell]
Sb 0.000 0.000 0.500 [2 per cell]
N 0.000 0.000 0.096 [4 per cell]

***

# 2
This record from Alexandria describes a relaxed Pm2Nd6Ru crystal. The functional is GGA-PBE.

Calculated values
DOS(E_F)	13.61	states/eV/cell
ΔH_f (0 K)	-0.33	kcal/mol of atoms
raw total energy	-5.28	eV/atom

Lattice parameters (Å, degrees): 3.819 8.937 8.993 92.85 90.02 90.03
Space group P-1 (No. 2)
Asymmetric unit:
Pm 0.000 0.199 0.033 [2 per cell]
Nd 0.000 0.274 0.450 [2 per cell]
Nd 0.499 0.466 0.802 [2 per cell]
Nd 0.500 0.054 0.715 [2 per cell]
Ru 0.500 0.500 0.500 [1 per cell]

***

# 3
This record from Alexandria describes a relaxed LuNiC2 crystal. The functional is GGA-PBE.

Calculated values
DOS(E_F)	2.21	states/eV/cell
ΔH_f (0 K)	-7.90	kcal/mol of atoms
raw total energy	-7.53	eV/atom

Lattice parameters (Å, degrees): 3.451 4.495 5.949 90.00 90.00 90.00
Space group Amm2 (No. 38)
Asymmetric unit:
Lu 0.000 0.000 0.000 [2 per cell]
Ni 0.500 0.000 0.611 [2 per cell]
C 0.500 0.153 0.300 [4 per cell]

***

# 4
This record from Alexandria describes a relaxed Pm2Er9Tm crystal. The functional is GGA-PBE.

Calculated values
DOS(E_F)	16.91	states/eV/cell
ΔH_f (0 K)	0.57	kcal/mol of atoms
energy above the most stable polymorph in this dataset	0	meV per atom
raw total energy	-4.56	eV/atom

Lattice parameters (Å, degrees): 4.990 4.990 14.967 90.00 90.00 90.00
Space group P4/mmm (No. 123)
Asymmetric unit:
Pm 0.000 0.000 0.167 [2 per cell]
Er 0.000 0.500 0.000 [2 per cell]
Er 0.000 0.500 0.336 [4 per cell]
Er 0.500 0.500 0.168 [2 per cell]
Er 0.500 0.500 0.500 [1 per cell]
Tm 0.000 0.000 0.500 [1 per cell]

***

> Which formula does entry 4 have?

Pm2Er9Tm

***

> Number 2 is which compound?

Pm2Nd6Ru

***

> The highest raw total energy belongs to which entry?

Sr7Sb3N2